Entry 1:
Below is a geometry-optimized FeSiP2W structure, with properties calculated at the PBE-GGA level.

a b c (Å): 4.107 4.840 4.107
angles (deg): 90.00 90.00 90.00
Each line ends with the local moment (μB).
Positions (direct):
Si: 0.500 0.500 0.500  -0.01
P: 0.500 0.000 0.000  0.00
W: 0.000 0.500 0.000  0.90
P: 0.000 0.000 0.500  -0.01
Fe: 0.000 0.000 0.000  0.07

Values from the calculation:
The uncorrected formation energy comes out at 0.89 eV per atom. The value obtained for the calculated density is 6.71 g/cm³. The total moment is 0.23 μB per atom. As for the space-group type: P4/mmm (123). As for the energy above the most stable polymorph in this dataset: 0 meV/atom.


Entry 2:
Below is a geometry-optimized FeSiP2W structure, with properties calculated at the PBE-GGA level.

a b c (Å): 4.138 4.694 4.138
angles (deg): 90.00 90.00 90.00
Each line ends with the local moment (μB).
Positions (direct):
Fe: 0.000 0.000 0.000  0.41
P: 0.000 0.000 0.500  -0.03
Si: 0.000 0.500 0.000  -0.04
P: 0.500 0.000 0.000  -0.01
W: 0.500 0.500 0.500  1.64

Values from the calculation:
The uncorrected formation energy comes out at 1.07 eV per atom. The value obtained for the calculated density is 6.81 g/cm³. The total moment is 0.47 μB per atom. As for the space-group type: P4/mmm (123). As for the energy above the most stable polymorph in this dataset: 179 meV/atom.


Entry 3:
Below is a geometry-optimized SmFeP structure, with properties calculated at the PBE-GGA level.

a b c (Å): 3.804 3.804 7.561
angles (deg): 90.00 90.00 90.00
Positions (direct):
Sm: 0.500 0.000 0.693
P: 0.000 0.500 0.845
P: 0.500 0.000 0.155
Fe: 0.000 0.000 0.000
Fe: 0.500 0.500 0.000
Sm: 0.000 0.500 0.307

Values from the calculation:
The value obtained for the calculated density is 7.20 g/cm³. The total moment is 0.00 μB per atom. As for the space-group type: P4/nmm (129). The value obtained for the formation energy is -0.955 eV per atom.